[1]
Dy5RuAu4 | PBE | relaxed

Cell lengths 3.533, 3.533, 18.039 Å; angles 90.00, 90.00, 90.00 degrees
Sites, in units of the cell vectors:
Dy (0.000, 0.000, 0.000)
Dy (0.000, 0.000, 0.204)
Dy (0.000, 0.000, 0.408)
Dy (0.000, 0.000, 0.592)
Dy (0.000, 0.000, 0.796)
Ru (0.500, 0.500, 0.500)
Au (0.500, 0.500, 0.101)
Au (0.500, 0.500, 0.305)
Au (0.500, 0.500, 0.695)
Au (0.500, 0.500, 0.899)

* volume: 225 Å³ per cell
* final energy: -5.31 eV/atom
* ΔE_f: -0.77 eV per atom
* total moment: 0.00 μB/atom

***

[2]
RbHg3Pb4 | PBE | relaxed

Cell lengths 5.379, 5.379, 9.413 Å; angles 90.00, 90.00, 90.00 degrees
Sites, in units of the cell vectors:
Rb (0.000, 0.000, 0.000)
Hg (0.000, 0.000, 0.500)
Hg (0.500, 0.500, 0.152)
Hg (0.500, 0.500, 0.848)
Pb (0.000, 0.500, 0.323)
Pb (0.000, 0.500, 0.677)
Pb (0.500, 0.000, 0.323)
Pb (0.500, 0.000, 0.677)

* volume: 272 Å³ per cell
* final energy: -2.14 eV/atom
* ΔE_f: -0.05 eV per atom
* total moment: 0.00 μB/atom

***

Question: What is the formula in the second record?
Answer: RbHg3Pb4